Entry 1:
# Ni3TeSe

A relaxed Ni3TeSe crystal (GGA-PBE, the Alexandria database).

The structure belongs to space group Pm-3m (No. 221); the cell edges are 4.457, 4.457 and 4.457 Å and the angles 90.00°, 90.00° and 90.00°. The asymmetric unit holds Ni at (0.000, 0.000, 0.500), Te at (0.500, 0.500, 0.500) and Se at (0.000, 0.000, 0.000).

For the total DFT energy (no corrections), the calculation gives -4.442 eV/atom. As for the uncorrected formation energy: 0.352 eV per atom. The calculation puts the density of states at the Fermi level at 1.06 states/eV/atom.

---

Entry 2:
# NiTeSe2

A relaxed NiTeSe2 crystal (GGA-PBE, the Alexandria database).

The structure belongs to space group I4/mcm (No. 140); the cell edges are 8.086, 8.086 and 5.764 Å and the angles 90.00°, 90.00° and 90.00°. The asymmetric unit holds Ni at (0.000, 0.500, 0.250), Te at (0.000, 0.000, 0.250) and Se at (0.157, 0.343, 0.000).

For the total DFT energy (no corrections), the calculation gives -3.845 eV/atom. As for the uncorrected formation energy: 0.128 eV per atom. The calculation puts the density of states at the Fermi level at 1.27 states/eV/atom.